# 1
The following is a PBE calculation of a relaxed TlPd6W crystal, from the Alexandria database.

Summary:
- spin magnetization (μB per cell) = 0.59
- formation enthalpy at 0 K (eV/f.u.) = -0.98

Lattice parameters (Å, degrees): 4.0000 4.0000 8.0756 90.00 90.00 90.00
Fractional coordinates of all 8 atoms:
Tl1 0.0000 0.0000 0.0000
Pd1 0.5000 0.5000 0.0000
Pd2 0.5000 0.5000 0.5000
Pd3 0.5000 0.0000 0.2684
Pd4 0.5000 0.0000 0.7316
Pd5 0.0000 0.5000 0.2684
Pd6 0.0000 0.5000 0.7316
W1 0.0000 0.0000 0.5000

=====

# 2
The following is a PBE calculation of a relaxed ErThRu crystal, from the Alexandria database.

Summary:
- spin magnetization (μB per cell) = 0.00
- excess energy over the best structure of this formula in the dataset (meV/atom) = 0
- formation enthalpy at 0 K (eV/f.u.) = -1.04

Lattice parameters (Å, degrees): 4.1082 5.9902 8.2956 56.08 75.71 90.01
Fractional coordinates of all 6 atoms:
Er1 0.0914 0.3815 0.8181
Er2 0.9086 0.6185 0.1819
Th1 0.6533 0.9914 0.6940
Th2 0.3467 0.0086 0.3060
Ru1 0.7331 0.6575 0.5336
Ru2 0.2669 0.3425 0.4664